An optimized crystal structure of SrCa3Pt. Source: Alexandria via LeMat-Bulk, functional GGA-PBE.

Lattice parameters (Å, degrees): 4.171 12.863 6.926 96.47 107.55 80.67
Positions (direct):
Ca 0.077 0.339 0.768
Ca 0.544 0.961 0.325
Sr 0.729 0.487 0.220
Ca 0.423 0.234 0.354
Ca 0.068 0.733 0.145
Ca 0.396 0.596 0.661
Pt 0.729 0.729 0.463
Sr 0.756 0.101 0.885
Ca 0.279 0.863 0.695
Pt 0.081 0.103 0.540

An optimized crystal structure of SrCaPt. Source: Alexandria via LeMat-Bulk, functional GGA-PBE.

Lattice parameters (Å, degrees): 5.090 5.090 5.090 60.00 60.00 60.00
Positions (direct):
Sr 0.000 0.000 0.000
Ca 0.500 0.500 0.500
Pt 0.750 0.750 0.750

no.,offset from the most stable computed form (meV per atom),energy (eV per atom)
1,10,-3.22
2,48,-3.94